Model i:
Here is SrIr2Au at its PBEsol-relaxed geometry from Alexandria via LeMat-Bulk. Energies are from meta-GGA SCAN.

```
4
Lattice="2.894 0.000 0.000 0.000 2.894 0.000 0.000 0.000 8.563" Properties=species:S:1:pos:R:3 pbc="T T T"
Au 1.447 1.447 6.691
Ir 0.000 0.000 0.147
Ir 1.447 1.447 1.789
Sr 0.000 0.000 4.217
```

## Properties
- Space group: P4mm, No. 99

Model ii:
Here is SrIr2Au at its PBEsol-relaxed geometry from Alexandria via LeMat-Bulk. Energies are from meta-GGA SCAN.

```
4
Lattice="-1.983 -3.888 0.334 2.888 -3.818 1.386 -0.646 -1.737 4.626" Properties=species:S:1:pos:R:3 pbc="T T T"
Au -0.078 -2.305 1.395
Ir 2.055 -5.482 5.762
Ir 0.504 -7.205 5.178
Sr 0.148 -4.729 3.199
```

## Properties
- Space group: Imm2, No. 44

Stability, lowest: model ii

Model i:
Here is SrIrAu at its PBEsol-relaxed geometry from Alexandria via LeMat-Bulk. Energies are from meta-GGA SCAN.

```
3
Lattice="-1.397 -2.175 1.637 0.204 -0.268 -3.041 6.278 -3.483 0.729" Properties=species:S:1:pos:R:3 pbc="T T T"
Au 6.165 -3.421 0.716
Ir 3.880 -3.240 -0.993
Sr 1.318 -2.750 0.331
```

## Properties
- Space group: P3m1, No. 156

Model ii:
Here is SrIrAu at its PBEsol-relaxed geometry from Alexandria via LeMat-Bulk. Energies are from meta-GGA SCAN.

```
3
Lattice="4.244 0.000 0.000 0.000 4.375 0.000 0.000 -2.188 3.789" Properties=species:S:1:pos:R:3 pbc="T T T"
Au 0.000 0.000 0.000
Ir 0.000 0.000 2.526
Sr 2.122 2.188 1.263
```

## Properties
- Space group: P-6m2, No. 187

Stability, lowest: model i

Model i:
Here is TcIrAu2 at its PBEsol-relaxed geometry from Alexandria via LeMat-Bulk. Energies are from meta-GGA SCAN.

```
4
Lattice="-0.992 1.466 -2.149 -3.242 -3.369 1.001 -1.516 3.486 3.078" Properties=species:S:1:pos:R:3 pbc="T T T"
Au -4.224 -1.864 -1.126
Au -2.753 0.245 -0.365
Ir -1.344 2.547 0.555
Tc -2.915 1.229 2.184
```

## Properties
- Space group: Cm, No. 8

Model ii:
Here is TcIrAu2 at its PBEsol-relaxed geometry from Alexandria via LeMat-Bulk. Energies are from meta-GGA SCAN.

```
4
Lattice="-2.404 1.333 0.004 -1.435 -2.598 3.679 1.825 3.284 3.030" Properties=species:S:1:pos:R:3 pbc="T T T"
Au 0.000 0.000 0.000
Au -1.919 -0.633 1.842
Ir -0.290 2.308 1.517
Tc 0.195 0.343 3.355
```

## Properties
- Space group: Pmmm, No. 47

Stability, lowest: model ii